DFT (GGA-PBE) results for an optimized crystal structure of ZnNi10.

Cell: 4.271 4.271 27.791 Å, 90.09 90.09 47.94°
Each line ends with the local moment (μB).
Positions (direct):
Zn: 0.151 0.151 0.699  0.02
Ni: 0.652 0.652 0.843  -0.62
Ni: 0.451 0.451 0.243  -0.40
Ni: 0.549 0.549 0.757  -0.40
Ni: 0.048 0.048 0.184  -0.58
Ni: 0.648 0.648 0.128  -0.64
Zn: 0.849 0.849 0.301  0.02
Ni: 0.952 0.952 0.816  -0.58
Ni: 0.150 0.150 0.269  -0.31
Ni: 0.451 0.451 0.957  -0.63
Ni: 0.052 0.052 0.901  -0.65
Ni: 0.352 0.352 0.872  -0.64
Ni: 0.752 0.752 0.929  -0.62
Ni: 0.253 0.253 0.787  -0.52
Ni: 0.747 0.747 0.213  -0.52
Ni: 0.850 0.850 0.014  -0.64
Ni: 0.850 0.850 0.731  -0.31
Ni: 0.150 0.150 0.986  -0.64
Ni: 0.549 0.549 0.043  -0.63
Ni: 0.348 0.348 0.157  -0.62
Ni: 0.948 0.948 0.099  -0.65
Ni: 0.248 0.248 0.071  -0.62

Summary:
* final energy: -5.0975 eV/atom
* space-group type: C2/m
* calculated volume: 188.21 Å³/f.u.
* total moment: 10.89 μB/cell
* formation energy from the elements: 79.1 meV per atom